(1)
# Sr5Mg4, optimized geometry, DFT PBEsol
# ΔH_f (0 K) = 19 meV/atom
data_Sr5Mg4
_chemical_formula_sum 'Sr10 Mg8'
_space_group_name_H-M_alt 'P 63/m c m'
_space_group_IT_number 193
_space_group_name_Hall '-P 6c 2'
_cell_length_a 10.5002
_cell_length_b 10.5002
_cell_length_c 7.2082
_cell_angle_alpha 90.00
_cell_angle_beta 90.00
_cell_angle_gamma 120.00
loop_
_atom_site_label
_atom_site_type_symbol
_atom_site_fract_x
_atom_site_fract_y
_atom_site_fract_z
Sr1 Sr 0.0000 0.2924 0.2500
Sr2 Sr 0.3333 0.6667 0.0000
Mg1 Mg 0.0000 0.0000 0.0000
Mg2 Mg 0.0000 0.3701 0.7500

=====

(2)
# LiZr2InI, optimized geometry, DFT PBEsol
# Raw formation energy = 655 meV per atom
data_LiZr2InI
_chemical_formula_sum 'Li1 Zr2 In1 I1'
_space_group_name_H-M_alt 'P 4/m m m'
_space_group_IT_number 123
_space_group_name_Hall '-P 4 2'
_cell_length_a 5.424
_cell_length_b 5.424
_cell_length_c 4.635
_cell_angle_alpha 90.00
_cell_angle_beta 90.00
_cell_angle_gamma 90.00
loop_
_atom_site_label
_atom_site_type_symbol
_atom_site_fract_x
_atom_site_fract_y
_atom_site_fract_z
Li1 Li 0.000 0.000 0.000
Zr1 Zr 0.000 0.500 0.500
In1 In 0.000 0.000 0.500
I1 I 0.500 0.500 0.000

=====

(3)
# Li3Sb3P4O16, optimized geometry, DFT PBEsol
# Raw formation energy = -2021 meV per atom
data_Li3Sb3P4O16
_chemical_formula_sum 'Li6 Sb6 P8 O32'
_space_group_name_H-M_alt 'P 1 21 1'
_space_group_IT_number 4
_space_group_name_Hall 'P 2yb'
_cell_length_a 6.793
_cell_length_b 11.024
_cell_length_c 9.082
_cell_angle_alpha 90.00
_cell_angle_beta 106.82
_cell_angle_gamma 90.00
loop_
_atom_site_label
_atom_site_type_symbol
_atom_site_fract_x
_atom_site_fract_y
_atom_site_fract_z
Li1 Li 0.085 0.000 0.151
Li2 Li 0.202 0.690 0.417
Li3 Li 0.348 0.901 0.580
Sb1 Sb 0.069 0.419 0.215
Sb2 Sb 0.356 0.625 0.827
Sb3 Sb 0.371 0.180 0.750
P1 P 0.108 0.417 0.587
P2 P 0.122 0.716 0.104
P3 P 0.342 0.170 0.382
P4 P 0.473 0.901 0.902
O1 O 0.024 0.158 0.815
O2 O 0.056 0.843 0.039
O3 O 0.084 0.841 0.455
O4 O 0.109 0.500 0.726
O5 O 0.134 0.496 0.452
O6 O 0.147 0.253 0.321
O7 O 0.150 0.629 0.976
O8 O 0.253 0.883 0.788
O9 O 0.310 0.340 0.644
O10 O 0.319 0.101 0.528
O11 O 0.332 0.726 0.237
O12 O 0.343 0.076 0.257
O13 O 0.400 0.440 0.206
O14 O 0.456 0.280 0.012
O15 O 0.457 0.740 0.575
O16 O 0.470 0.003 0.019

=====

(4)
# CaTlB2, optimized geometry, DFT PBEsol
# Distance to the lowest polymorph of the same formula = 0 meV per atom
# ΔH_f (0 K) = 913 meV/atom
data_CaTlB2
_chemical_formula_sum 'Ca4 Tl4 B8'
_space_group_name_H-M_alt 'I 41/a m d'
_space_group_IT_number 141
_cell_length_a 4.231
_cell_length_b 4.231
_cell_length_c 16.210
_cell_angle_alpha 90.00
_cell_angle_beta 90.00
_cell_angle_gamma 90.00
loop_
_space_group_symop_operation_xyz
'x,y,z'
'-x,-y,-z'
'-y+1/4,x+3/4,z+1/4'
'y+1/4,-x+3/4,-z+1/4'
'-x+1/2,-y,z+1/2'
'x+1/2,y,-z+1/2'
'y+1/4,-x+1/4,z+3/4'
'-y+1/4,x+1/4,-z+3/4'
'x,-y,-z'
'-x,y,z'
'-y+1/4,-x+1/4,-z+3/4'
'y+1/4,x+1/4,z+3/4'
'-x+1/2,y,-z+1/2'
'x+1/2,-y,z+1/2'
'y+1/4,x+3/4,-z+1/4'
'-y+1/4,-x+3/4,z+1/4'
'x+1/2,y+1/2,z+1/2'
'-x+1/2,-y+1/2,-z+1/2'
'-y+3/4,x+1/4,z+3/4'
'y+3/4,-x+1/4,-z+3/4'
'-x,-y+1/2,z'
'x,y+1/2,-z'
'y+3/4,-x+3/4,z+1/4'
'-y+3/4,x+3/4,-z+1/4'
'x+1/2,-y+1/2,-z+1/2'
'-x+1/2,y+1/2,z+1/2'
'-y+3/4,-x+3/4,-z+1/4'
'y+3/4,x+3/4,z+1/4'
'-x,y+1/2,-z'
'x,-y+1/2,z'
'y+3/4,x+1/4,-z+3/4'
'-y+3/4,-x+1/4,z+3/4'
loop_
_atom_site_label
_atom_site_type_symbol
_atom_site_fract_x
_atom_site_fract_y
_atom_site_fract_z
Ca1 Ca 0.000 0.250 0.375
Tl1 Tl 0.000 0.250 0.875
B1 B 0.000 0.000 0.000

=====

(5)
# SrSb2C, optimized geometry, DFT PBEsol
# Raw formation energy = 285 meV per atom
data_SrSb2C
_chemical_formula_sum 'Sr4 Sb8 C4'
_space_group_name_H-M_alt 'I -4 2 d'
_space_group_IT_number 122
_space_group_name_Hall 'I -4 2bw'
_cell_length_a 7.160
_cell_length_b 7.160
_cell_length_c 7.841
_cell_angle_alpha 90.00
_cell_angle_beta 90.00
_cell_angle_gamma 90.00
loop_
_atom_site_label
_atom_site_type_symbol
_atom_site_fract_x
_atom_site_fract_y
_atom_site_fract_z
Sr1 Sr 0.000 0.000 0.000
Sb1 Sb 0.133 0.750 0.625
C1 C 0.000 0.000 0.500

=====

(6)
# MnVAgO4, optimized geometry, DFT PBEsol
# Raw formation energy = -1590 meV per atom
data_MnVAgO4
_chemical_formula_sum 'Mn4 V4 Ag4 O16'
_space_group_name_H-M_alt 'P n m a'
_space_group_IT_number 62
_space_group_name_Hall '-P 2ac 2n'
_cell_length_a 9.466
_cell_length_b 6.672
_cell_length_c 5.304
_cell_angle_alpha 90.00
_cell_angle_beta 90.00
_cell_angle_gamma 90.00
loop_
_atom_site_label
_atom_site_type_symbol
_atom_site_fract_x
_atom_site_fract_y
_atom_site_fract_z
Mn1 Mn 0.000 0.000 0.000
V1 V 0.178 0.250 0.480
Ag1 Ag 0.153 0.750 0.503
O1 O 0.113 0.048 0.317
O2 O 0.116 0.250 0.792
O3 O 0.135 0.750 0.937

=====

| no. | final energy (eV per atom) |
| --- | --- |
| 1 | -1.766 |
| 2 | -4.324 |
| 3 | -6.895 |
| 4 | -3.786 |
| 5 | -4.864 |
| 6 | -7.833 |